(1)
Here is a PBEsol-optimized structure of Mg4Te3 from the Alexandria database. Energies are from SCAN.

Summary:
The total energy comes out at -135.811 eV/cell. The formation energy (no corrections) is -0.595 eV/atom.

Geometry as extended XYZ:
```
7
Lattice="-5.1267 0.5624 3.1954 1.2436 -5.1782 2.9067 2.9967 3.1112 4.2603" Properties=species:S:1:pos:R:3 pbc="T T T"
Mg 0.5198 -3.2791 3.8827
Mg -3.1171 -0.0017 4.0475
Mg -0.6962 -1.1818 8.1392
Mg 1.5207 1.4534 4.6554
Te -1.0650 1.8368 3.7278
Te -1.9415 -2.3079 3.0510
Te 2.1202 -1.0335 3.5835
```

(2)
Here is a PBEsol-optimized structure of Mg3Te from the Alexandria database. Energies are from SCAN.

Summary:
The excess energy over the best structure of this formula in the dataset comes out at 0.056 eV per atom. The total energy comes out at -105.340 eV/cell. The formation energy (no corrections) is -0.124 eV/atom.

Geometry as extended XYZ:
```
8
Lattice="-0.8162 2.5964 -4.5875 -3.6066 -4.8513 -2.1041 -2.6970 4.8330 3.2152" Properties=species:S:1:pos:R:3 pbc="T T T"
Mg -3.4570 5.2058 -1.0902
Mg -5.3044 2.7208 -2.1680
Mg -2.0755 2.7301 -2.7372
Mg -3.6627 -2.6276 -2.3861
Mg -1.8153 -0.1426 -1.3083
Mg -5.0442 -0.1520 -0.7391
Te -3.9155 0.3242 -3.7716
Te -3.2042 2.2540 0.2953
```

(3)
Here is a PBEsol-optimized structure of Mg5Te from the Alexandria database. Energies are from SCAN.

Summary:
The excess energy over the best structure of this formula in the dataset comes out at 0.068 eV per atom. The total energy comes out at -62.304 eV/cell. The formation energy (no corrections) is -0.031 eV/atom.

Geometry as extended XYZ:
```
6
Lattice="5.2244 0.0000 0.0000 0.0000 5.5684 0.0000 0.0000 -2.7842 4.8224" Properties=species:S:1:pos:R:3 pbc="T T T"
Mg 0.0000 0.9389 1.6262
Mg 0.0000 3.6906 0.0000
Mg 0.0000 -1.8453 3.1961
Mg 2.6122 0.0000 3.2149
Mg 2.6122 2.7842 1.6075
Te 2.6122 0.0000 0.0000
```

(4)
Here is a PBEsol-optimized structure of Mg3Te from the Alexandria database. Energies are from SCAN.

Summary:
The excess energy over the best structure of this formula in the dataset comes out at 0.004 eV per atom. The total energy comes out at -52.877 eV/cell. The formation energy (no corrections) is -0.176 eV/atom.

Geometry as extended XYZ:
```
4
Lattice="3.8310 0.0000 0.0000 0.0000 4.9784 -0.0470 -1.9155 -1.4032 4.9977" Properties=species:S:1:pos:R:3 pbc="T T T"
Mg 1.9155 2.4892 -0.0235
Mg 1.9155 0.5708 2.3899
Mg 0.0000 3.0044 2.5608
Te 0.0000 0.0000 0.0000
```